AlGa3Ag3: optimized geometry, PBE-GGA.

a b c (Å): 7.577 7.577 5.504
angles (deg): 97.98 97.98 115.01
Fractional positions:
Al: 0.209 0.209 0.285
Al: 0.791 0.791 0.715
Ga: 0.157 0.843 0.000
Ga: 0.222 0.778 0.500
Ga: 0.450 0.450 0.725
Ga: 0.550 0.550 0.275
Ga: 0.778 0.222 0.500
Ga: 0.843 0.157 0.000
Ag: 0.127 0.127 0.726
Ag: 0.187 0.502 0.077
Ag: 0.498 0.813 0.923
Ag: 0.502 0.187 0.077
Ag: 0.813 0.498 0.923
Ag: 0.873 0.873 0.274

Summary:
Offset from the most stable computed form = 0.00 eV per formula unit
Crystal system = monoclinic
ΔE_f = 6 kJ per mole of atoms
Magnetization = 0.00 μB per formula unit

***

AlGa2Ag4: optimized geometry, PBE-GGA.

a b c (Å): 4.895 5.107 5.136
angles (deg): 102.44 97.83 99.55
Fractional positions:
Al: 0.000 0.000 0.000
Ga: 0.148 0.576 0.282
Ga: 0.852 0.424 0.718
Ag: 0.281 0.148 0.571
Ag: 0.424 0.719 0.859
Ag: 0.576 0.281 0.141
Ag: 0.719 0.852 0.429

Summary:
Offset from the most stable computed form = 0.00 eV per formula unit
Crystal system = triclinic
ΔE_f = -1 kJ per mole of atoms
Magnetization = 0.00 μB per formula unit

***

Al5Ga5Ag2: optimized geometry, PBE-GGA.

a b c (Å): 6.537 6.537 12.816
angles (deg): 108.41 108.41 25.41
Fractional positions:
Al: 0.000 0.000 0.000
Al: 0.131 0.131 0.678
Al: 0.327 0.327 0.850
Al: 0.673 0.673 0.150
Al: 0.869 0.869 0.322
Ga: 0.222 0.222 0.401
Ga: 0.342 0.342 0.089
Ga: 0.500 0.500 0.500
Ga: 0.658 0.658 0.911
Ga: 0.778 0.778 0.599
Ag: 0.030 0.030 0.234
Ag: 0.970 0.970 0.766

Summary:
Offset from the most stable computed form = 0.11 eV per formula unit
Crystal system = monoclinic
ΔE_f = 7 kJ per mole of atoms
Magnetization = 0.00 μB per formula unit

***

Al2Ga2Ag7: optimized geometry, PBE-GGA.

a b c (Å): 5.380 5.380 7.189
angles (deg): 102.35 102.35 90.58
Fractional positions:
Al: 0.103 0.103 0.344
Al: 0.897 0.897 0.656
Ga: 0.303 0.697 0.000
Ga: 0.697 0.303 0.000
Ag: 0.010 0.402 0.673
Ag: 0.207 0.207 0.025
Ag: 0.402 0.010 0.673
Ag: 0.500 0.500 0.500
Ag: 0.598 0.990 0.327
Ag: 0.793 0.793 0.975
Ag: 0.990 0.598 0.327

Summary:
Offset from the most stable computed form = 0.24 eV per formula unit
Crystal system = monoclinic
ΔE_f = 1 kJ per mole of atoms
Magnetization = 0.00 μB per formula unit

***

AlGaAg2: optimized geometry, PBE-GGA.

a b c (Å): 5.959 9.701 5.610
angles (deg): 90.00 121.94 90.00
Fractional positions:
Al: 0.000 0.203 0.250
Al: 0.000 0.797 0.750
Al: 0.500 0.297 0.750
Al: 0.500 0.703 0.250
Ga: 0.000 0.299 0.750
Ga: 0.000 0.701 0.250
Ga: 0.500 0.201 0.250
Ga: 0.500 0.799 0.750
Ag: 0.247 0.052 0.741
Ag: 0.247 0.948 0.241
Ag: 0.253 0.448 0.259
Ag: 0.253 0.552 0.759
Ag: 0.747 0.448 0.241
Ag: 0.747 0.552 0.741
Ag: 0.753 0.052 0.759
Ag: 0.753 0.948 0.259

Summary:
Offset from the most stable computed form = 0.01 eV per formula unit
Crystal system = monoclinic
ΔE_f = -4 kJ per mole of atoms
Magnetization = 0.00 μB per formula unit

***

Al4GaAg2: optimized geometry, PBE-GGA.

a b c (Å): 5.709 5.774 9.284
angles (deg): 94.17 102.87 117.21
Fractional positions:
Al: 0.008 0.225 0.236
Al: 0.049 0.735 0.259
Al: 0.470 0.263 0.758
Al: 0.472 0.746 0.736
Al: 0.528 0.254 0.264
Al: 0.530 0.737 0.242
Al: 0.951 0.265 0.741
Al: 0.992 0.775 0.764
Ga: 0.229 0.289 0.002
Ga: 0.771 0.711 0.998
Ag: 0.000 0.000 0.500
Ag: 0.000 0.500 0.500
Ag: 0.500 0.000 0.000
Ag: 0.500 0.000 0.500

Summary:
Offset from the most stable computed form = 0.61 eV per formula unit
Crystal system = triclinic
ΔE_f = 7 kJ per mole of atoms
Magnetization = 0.00 μB per formula unit

***

AlGaAg2: optimized geometry, PBE-GGA.

a b c (Å): 4.104 4.104 4.117
angles (deg): 90.00 90.00 90.00
Fractional positions:
Al: 0.000 0.000 0.000
Ga: 0.500 0.500 0.000
Ag: 0.000 0.500 0.500
Ag: 0.500 0.000 0.500

Summary:
Offset from the most stable computed form = 0.28 eV per formula unit
Crystal system = tetragonal
ΔE_f = 2 kJ per mole of atoms
Magnetization = 0.00 μB per formula unit

***

Al2Ga5Ag: optimized geometry, PBE-GGA.

a b c (Å): 5.377 5.434 5.606
angles (deg): 77.37 72.99 72.61
Fractional positions:
Al: 0.000 0.000 0.000
Al: 0.494 0.912 0.123
Ga: 0.015 0.949 0.497
Ga: 0.479 0.979 0.628
Ga: 0.516 0.419 0.011
Ga: 0.978 0.491 0.113
Ga: 0.991 0.433 0.619
Ag: 0.501 0.497 0.504

Summary:
Crystal system = triclinic
ΔE_f = 3 kJ per mole of atoms
Magnetization = 0.00 μB per formula unit